The following is a DFT calculation (PBEsol) of an optimized crystal structure of AlSiSn2.

Unit cell a=6.9450 b=6.9450 c=6.9450 alpha=90.00 beta=90.00 gamma=90.00
With the nearest neighbours (Å) after each atom.
Positions (direct):
Al  0.0000  0.0000  0.0000  8 Sn 3.01
Al  0.0000  0.5000  0.5000  8 Sn 3.01
Al  0.5000  0.0000  0.5000  8 Sn 3.01
Al  0.5000  0.5000  0.0000  8 Sn 3.01
Si  0.0000  0.0000  0.5000  8 Sn 3.01
Si  0.0000  0.5000  0.0000  8 Sn 3.01
Si  0.5000  0.0000  0.0000  8 Sn 3.01
Si  0.5000  0.5000  0.5000  8 Sn 3.01
Sn  0.2500  0.2500  0.2500  4 Al 3.01, 4 Si 3.01
Sn  0.2500  0.2500  0.7500  4 Al 3.01, 4 Si 3.01
Sn  0.2500  0.7500  0.2500  4 Al 3.01, 4 Si 3.01
Sn  0.2500  0.7500  0.7500  4 Al 3.01, 4 Si 3.01
Sn  0.7500  0.2500  0.2500  4 Al 3.01, 4 Si 3.01
Sn  0.7500  0.2500  0.7500  4 Al 3.01, 4 Si 3.01
Sn  0.7500  0.7500  0.2500  4 Al 3.01, 4 Si 3.01
Sn  0.7500  0.7500  0.7500  4 Al 3.01, 4 Si 3.01

Properties
**VASP energy**: -4.306 eV/atom
**DOS(E_F)**: 9.51 states/eV/cell
**Uncorrected formation energy**: 0.283 eV per atom
**Space group**: No. 225



The following is a DFT calculation (PBEsol) of an optimized crystal structure of CaZr2Br.

Unit cell a=3.2079 b=4.9702 c=11.9320 alpha=90.00 beta=90.00 gamma=90.00
With the nearest neighbours (Å) after each atom.
Positions (direct):
Ca  0.0000  0.0000  0.0000  4 Br 2.96, 2 Ca 3.21
Ca  0.5000  0.5000  0.5000  4 Br 2.96, 2 Ca 3.21
Zr  0.0000  0.5000  0.2175  2 Br 3.05, 6 Zr 3.06-3.21
Zr  0.0000  0.5000  0.7825  2 Br 3.05, 6 Zr 3.06-3.21
Zr  0.5000  0.0000  0.2825  2 Br 3.05, 6 Zr 3.06-3.21
Zr  0.5000  0.0000  0.7175  2 Br 3.05, 6 Zr 3.06-3.21
Br  0.0000  0.0000  0.5000  4 Ca 2.96, 4 Zr 3.05, 2 Br 3.21
Br  0.5000  0.5000  0.0000  4 Ca 2.96, 4 Zr 3.05, 2 Br 3.21

Properties
**VASP energy**: -5.718 eV/atom
**DOS(E_F)**: 8.29 states/eV/cell
**Uncorrected formation energy**: -0.172 eV per atom
**Distance to the lowest polymorph of the same formula**: 0 meV/atom
**Space group**: No. 71



The following is a DFT calculation (PBEsol) of an optimized crystal structure of TaAuI3.

Unit cell a=5.3869 b=5.3869 c=5.3869 alpha=90.00 beta=90.00 gamma=90.00
With the nearest neighbours (Å) after each atom.
Positions (direct):
Ta  0.0000  0.0000  0.0000  6 I 2.69
Au  0.5000  0.5000  0.5000  12 I 3.81
I  0.0000  0.0000  0.5000  2 Ta 2.69
I  0.0000  0.5000  0.0000  2 Ta 2.69
I  0.5000  0.0000  0.0000  2 Ta 2.69

Properties
**VASP energy**: -3.827 eV/atom
**DOS(E_F)**: 3.64 states/eV/cell
**Uncorrected formation energy**: 0.528 eV per atom
**Space group**: No. 221



The following is a DFT calculation (PBEsol) of an optimized crystal structure of LuNiGe2.

Unit cell a=3.8823 b=16.7924 c=4.0664 alpha=90.00 beta=90.00 gamma=90.00
With the nearest neighbours (Å) after each atom.
Positions (direct):
Lu  0.0000  0.1070  0.2500  4 Ni 3.03, 10 Ge 3.03-3.18
Lu  0.0000  0.8930  0.7500  4 Ni 3.03, 10 Ge 3.03-3.18
Lu  0.5000  0.3930  0.7500  4 Ni 3.03, 10 Ge 3.03-3.18
Lu  0.5000  0.6070  0.2500  4 Ni 3.03, 10 Ge 3.03-3.18
Ni  0.0000  0.3261  0.2500  5 Ge 2.25-2.38
Ni  0.0000  0.6739  0.7500  5 Ge 2.25-2.38
Ni  0.5000  0.1739  0.7500  5 Ge 2.25-2.38
Ni  0.5000  0.8261  0.2500  5 Ge 2.25-2.38
Ge  0.0000  0.2528  0.7500  4 Ni 2.35-2.38
Ge  0.0000  0.4600  0.2500  1 Ni 2.25, 2 Ge 2.44
Ge  0.0000  0.5400  0.7500  1 Ni 2.25, 2 Ge 2.44
Ge  0.0000  0.7472  0.2500  4 Ni 2.35-2.38
Ge  0.5000  0.0400  0.7500  1 Ni 2.25, 2 Ge 2.44
Ge  0.5000  0.2472  0.2500  4 Ni 2.35-2.38
Ge  0.5000  0.7528  0.7500  4 Ni 2.35-2.38
Ge  0.5000  0.9600  0.2500  1 Ni 2.25, 2 Ge 2.44

Properties
**VASP energy**: -5.920 eV/atom
**DOS(E_F)**: 5.71 states/eV/cell
**Energy relative to the elements**: -693 meV per atom
**Space group**: No. 63



The following is a DFT calculation (PBEsol) of an optimized crystal structure of NiMoBr2.

Unit cell a=3.0475 b=4.0409 c=5.6315 alpha=90.00 beta=90.00 gamma=90.00
With the nearest neighbours (Å) after each atom.
Positions (direct):
Ni  0.0000  0.0000  0.0000  4 Br 2.53
Mo  0.5000  0.0000  0.5000  4 Br 2.53
Br  0.0000  0.5000  0.5000  4 Mo 2.53
Br  0.5000  0.5000  0.0000  4 Ni 2.53

Properties
**VASP energy**: -4.614 eV/atom
**DOS(E_F)**: 4.45 states/eV/cell
**Uncorrected formation energy**: 0.802 eV per atom
**Distance to the lowest polymorph of the same formula**: 342 meV/atom
**Space group**: No. 47



The following is a DFT calculation (PBEsol) of an optimized crystal structure of Mg2ZrS.

Unit cell a=6.8976 b=6.8976 c=6.8976 alpha=90.00 beta=90.00 gamma=90.00
With the nearest neighbours (Å) after each atom.
Positions (direct):
Mg  0.2500  0.2500  0.2500  4 S 2.99, 4 Zr 2.99
Mg  0.2500  0.2500  0.7500  4 S 2.99, 4 Zr 2.99
Mg  0.2500  0.7500  0.2500  4 S 2.99, 4 Zr 2.99
Mg  0.2500  0.7500  0.7500  4 S 2.99, 4 Zr 2.99
Mg  0.7500  0.2500  0.2500  4 S 2.99, 4 Zr 2.99
Mg  0.7500  0.2500  0.7500  4 S 2.99, 4 Zr 2.99
Mg  0.7500  0.7500  0.2500  4 S 2.99, 4 Zr 2.99
Mg  0.7500  0.7500  0.7500  4 S 2.99, 4 Zr 2.99
Zr  0.0000  0.0000  0.0000  8 Mg 2.99
Zr  0.0000  0.5000  0.5000  8 Mg 2.99
Zr  0.5000  0.0000  0.5000  8 Mg 2.99
Zr  0.5000  0.5000  0.0000  8 Mg 2.99
S  0.0000  0.0000  0.5000  8 Mg 2.99
S  0.0000  0.5000  0.0000  8 Mg 2.99
S  0.5000  0.0000  0.0000  8 Mg 2.99
S  0.5000  0.5000  0.5000  8 Mg 2.99

Properties
**VASP energy**: -3.862 eV/atom
**DOS(E_F)**: 17.87 states/eV/cell
**Uncorrected formation energy**: 0.365 eV per atom
**Distance to the lowest polymorph of the same formula**: 706 meV/atom
**Space group**: No. 225



The following is a DFT calculation (PBEsol) of an optimized crystal structure of Y3MoS.

Unit cell a=5.2139 b=5.2139 c=5.2139 alpha=90.00 beta=90.00 gamma=90.00
With the nearest neighbours (Å) after each atom.
Positions (direct):
Y  0.0000  0.0000  0.5000  2 Mo 2.61
Y  0.0000  0.5000  0.0000  2 Mo 2.61
Y  0.5000  0.0000  0.0000  2 Mo 2.61
Mo  0.0000  0.0000  0.0000  6 Y 2.61
S  0.5000  0.5000  0.5000  12 Y 3.69

Properties
**VASP energy**: -6.983 eV/atom
**DOS(E_F)**: 4.06 states/eV/cell
**Uncorrected formation energy**: 0.340 eV per atom
**Space group**: No. 221



The following is a DFT calculation (PBEsol) of an optimized crystal structure of BaMo3Pt.

Unit cell a=4.9011 b=4.9011 c=4.9011 alpha=90.00 beta=90.00 gamma=90.00
With the nearest neighbours (Å) after each atom.
Positions (direct):
Ba  0.0000  0.0000  0.0000  12 Mo 3.47
Mo  0.0000  0.5000  0.5000  2 Pt 2.45
Mo  0.5000  0.0000  0.5000  2 Pt 2.45
Mo  0.5000  0.5000  0.0000  2 Pt 2.45
Pt  0.5000  0.5000  0.5000  6 Mo 2.45

Properties
**VASP energy**: -7.313 eV/atom
**DOS(E_F)**: 5.47 states/eV/cell
**Energy relative to the elements**: 1571 meV per atom
**Space group**: No. 221



The following is a DFT calculation (PBEsol) of an optimized crystal structure of MgTe2Mo.

Unit cell a=9.2571 b=3.4457 c=6.0333 alpha=90.00 beta=99.05 gamma=90.00
With the nearest neighbours (Å) after each atom.
Positions (direct):
Mg  0.0000  0.0000  0.0000  5 Te 2.65-2.89, 1 Mo 2.81
Mg  0.5000  0.5000  0.0000  5 Te 2.65-2.89, 1 Mo 2.81
Te  0.2556  0.0000  0.8547  3 Mg 2.65-2.87, 2 Mo 2.80
Te  0.4773  0.0000  0.3772  3 Mo 2.75-2.86, 2 Mg 2.89
Te  0.7556  0.5000  0.8547  3 Mg 2.65-2.87, 2 Mo 2.80
Te  0.9773  0.5000  0.3772  3 Mo 2.75-2.86, 2 Mg 2.89
Mo  0.2534  0.5000  0.2195  5 Te 2.75-2.86, 3 Mg 2.81-3.04
Mo  0.7534  0.0000  0.2195  5 Te 2.75-2.86, 3 Mg 2.81-3.04

Properties
**VASP energy**: -5.091 eV/atom
**DOS(E_F)**: 4.92 states/eV/cell
**Uncorrected formation energy**: 0.043 eV per atom
**Space group**: No. 8



The following is a DFT calculation (PBEsol) of an optimized crystal structure of Al2InSe.

Unit cell a=4.1458 b=4.1458 c=9.7100 alpha=90.00 beta=90.00 gamma=90.00
With the nearest neighbours (Å) after each atom.
Positions (direct):
Al  0.0000  0.5000  0.2500  4 Al 2.93, 4 In 3.19, 4 Se 3.19
Al  0.0000  0.5000  0.7500  4 Al 2.93, 4 Se 3.19, 4 In 3.19
Al  0.5000  0.0000  0.2500  4 Al 2.93, 4 In 3.19, 4 Se 3.19
Al  0.5000  0.0000  0.7500  4 Al 2.93, 4 Se 3.19, 4 In 3.19
In  0.0000  0.0000  0.0000  4 Se 2.93, 8 Al 3.19
In  0.5000  0.5000  0.5000  4 Se 2.93, 8 Al 3.19
Se  0.0000  0.0000  0.5000  4 In 2.93, 8 Al 3.19
Se  0.5000  0.5000  0.0000  4 In 2.93, 8 Al 3.19

Properties
**VASP energy**: -3.666 eV/atom
**DOS(E_F)**: 2.28 states/eV/cell
**Uncorrected formation energy**: 0.088 eV per atom
**Distance to the lowest polymorph of the same formula**: 110 meV/atom
**Space group**: No. 139



The following is a DFT calculation (PBEsol) of an optimized crystal structure of ZnAg2Mo.

Unit cell a=2.6969 b=4.7783 c=4.8687 alpha=90.00 beta=90.00 gamma=90.00
With the nearest neighbours (Å) after each atom.
Positions (direct):
Zn  0.0000  0.0000  0.0000  2 Zn 2.70, 4 Mo 2.74, 4 Ag 2.78
Ag  0.0000  0.5000  0.5000  6 Ag 2.70-2.74, 4 Mo 2.78
Ag  0.5000  0.0000  0.5000  6 Ag 2.70-2.74, 4 Zn 2.78
Mo  0.5000  0.5000  0.0000  2 Mo 2.70, 4 Zn 2.74, 4 Ag 2.78

Properties
**VASP energy**: -4.613 eV/atom
**DOS(E_F)**: 2.96 states/eV/cell
**Energy relative to the elements**: 380 meV per atom
**Space group**: No. 47



The following is a DFT calculation (PBEsol) of an optimized crystal structure of Cr2Ir.

Unit cell a=4.6638 b=4.6638 c=15.2770 alpha=90.00 beta=90.00 gamma=120.00
With the nearest neighbours (Å) after each atom.
Positions (direct):
Cr  0.0000  0.5000  0.0000  6 Cr 2.33-2.35
Cr  0.0000  0.5000  0.5000  6 Cr 2.33-2.35
Cr  0.1626  0.3252  0.2500  6 Cr 2.27-2.39
Cr  0.1626  0.8374  0.2500  6 Cr 2.27-2.39
Cr  0.3252  0.1626  0.7500  6 Cr 2.27-2.39
Cr  0.3333  0.6667  0.1264  6 Cr 2.34-2.35
Cr  0.3333  0.6667  0.3736  6 Cr 2.34-2.35
Cr  0.5000  0.0000  0.0000  6 Cr 2.33-2.35
Cr  0.5000  0.0000  0.5000  6 Cr 2.33-2.35
Cr  0.5000  0.5000  0.0000  6 Cr 2.33-2.35
Cr  0.5000  0.5000  0.5000  6 Cr 2.33-2.35
Cr  0.6667  0.3333  0.6264  6 Cr 2.34-2.35
Cr  0.6667  0.3333  0.8736  6 Cr 2.34-2.35
Cr  0.6748  0.8374  0.2500  6 Cr 2.27-2.39
Cr  0.8374  0.1626  0.7500  6 Cr 2.27-2.39
Cr  0.8374  0.6748  0.7500  6 Cr 2.27-2.39
Ir  0.0000  0.0000  0.0926  12 Cr 2.73-2.74, 4 Ir 2.83-2.86
Ir  0.0000  0.0000  0.4074  12 Cr 2.73-2.74, 4 Ir 2.83-2.86
Ir  0.0000  0.0000  0.5926  12 Cr 2.73-2.74, 4 Ir 2.83-2.86
Ir  0.0000  0.0000  0.9074  12 Cr 2.73-2.74, 4 Ir 2.83-2.86
Ir  0.3333  0.6667  0.6562  12 Cr 2.73-2.74, 4 Ir 2.86-2.87
Ir  0.3333  0.6667  0.8438  12 Cr 2.73-2.74, 4 Ir 2.86-2.87
Ir  0.6667  0.3333  0.1562  12 Cr 2.73-2.74, 4 Ir 2.86-2.87
Ir  0.6667  0.3333  0.3438  12 Cr 2.73-2.74, 4 Ir 2.86-2.87

Properties
**VASP energy**: -10.205 eV/atom
**DOS(E_F)**: 19.03 states/eV/cell
**Energy relative to the elements**: -102 meV per atom
**Space group**: No. 194



Calculated volume / Å³/atom: 20.94; 23.78; 31.26; 16.57; 17.34; 20.51; 28.35; 23.54; 23.76; 20.86; 15.69; 11.99